(1)
DFT (PBE) results for a relaxed NbSnN3 crystal.

```
NbSnN3
1.0
4.0020 0.0000 0.0000
0.0000 4.0020 0.0000
0.0000 0.0000 4.0020
Nb Sn N
1 1 3
direct
0.5000 0.5000 0.5000 Nb
0.0000 0.0000 0.0000 Sn
0.0000 0.5000 0.0000 N
0.0000 0.0000 0.5000 N
0.5000 0.0000 0.0000 N
```

Values from the calculation:
* V: 12.8 A^3/atom
* spin magnetization: 0.000 μB/atom
* formation energy (no corrections): 1.397 eV/atom

---

(2)
DFT (PBE) results for a relaxed AcCu4Te3O12 crystal.

```
AcCu4Te3O12
1.0
-4.8180 0.6736 -4.9448
6.1325 -0.2673 -3.2309
-0.9881 -6.2255 2.8956
Ac Cu Te O
1 4 3 12
direct
0.0000 0.0000 0.0000 Ac
0.8921 0.1079 0.5000 Cu
0.1079 0.5000 0.8921 Cu
0.5000 0.8921 0.1079 Cu
0.5000 0.5000 0.5000 Cu
0.5699 0.4301 0.0000 Te
0.4301 0.0000 0.5699 Te
0.0000 0.5699 0.4301 Te
0.5000 0.3277 0.6723 O
0.9040 0.5000 0.0960 O
0.0960 0.9040 0.5000 O
0.5000 0.0960 0.9040 O
0.3517 0.9983 0.2689 O
0.2689 0.3517 0.9983 O
0.9983 0.2689 0.3517 O
0.6483 0.7311 0.0017 O
0.0017 0.6483 0.7311 O
0.7311 0.0017 0.6483 O
0.6723 0.5000 0.3277 O
0.3277 0.6723 0.5000 O
```

Values from the calculation:
* V: 14.0 A^3/atom
* spin magnetization: 0.000 μB/atom
* formation energy (no corrections): -1.066 eV/atom

---

(3)
DFT (PBE) results for a relaxed CaPmH crystal.

```
CaPmH
1.0
7.5336 0.0000 0.0000
-3.7668 6.5243 0.0000
0.0000 0.0000 5.7010
H Ca Pm
3 3 3
direct
0.8871 0.9436 0.5000 H
0.0564 0.1129 0.8333 H
0.0564 0.9436 0.1667 H
0.0663 0.5332 0.5000 Ca
0.4668 0.9337 0.8333 Ca
0.4668 0.5332 0.1667 Ca
0.2295 0.1148 0.5000 Pm
0.8852 0.7705 0.8333 Pm
0.8852 0.1148 0.1667 Pm
```

Values from the calculation:
* V: 31.1 A^3/atom
* spin magnetization: 0.120 μB/atom
* DFT total energy: -3.16 eV per atom

---

(4)
DFT (PBE) results for a relaxed Hf2Be15Zn2 crystal.

```
Hf2Be15Zn2
1.0
5.7291 -0.0140 0.7338
0.6440 5.6928 0.7338
-0.0157 -0.0140 5.7759
Hf Be Zn
2 15 2
direct
0.3446 0.3446 0.3446 Hf
0.6554 0.6554 0.6554 Hf
0.5000 0.0000 0.0000 Be
0.0000 0.0000 0.5000 Be
0.0000 0.5000 0.0000 Be
0.0000 0.7037 0.2963 Be
0.7037 0.2963 0.0000 Be
0.2963 0.0000 0.7037 Be
0.2963 0.7037 0.0000 Be
0.7037 0.0000 0.2963 Be
0.0000 0.2963 0.7037 Be
0.1656 0.6532 0.6532 Be
0.6532 0.6532 0.1656 Be
0.6532 0.1656 0.6532 Be
0.8344 0.3468 0.3468 Be
0.3468 0.3468 0.8344 Be
0.3468 0.8344 0.3468 Be
0.1049 0.1049 0.1049 Zn
0.8951 0.8951 0.8951 Zn
```

Values from the calculation:
* V: 9.9 A^3/atom
* ΔH_f (0 K): -18 kJ per mole of atoms
* spin magnetization: 0.000 μB/atom

---

(5)
DFT (PBE) results for a relaxed K3Pu2PbSe6 crystal.

```
K3Pu2PbSe6
1.0
-0.3050 -6.1474 4.2824
6.0241 1.2957 -4.2725
1.3248 5.4497 5.7215
K Pu Pb Se
3 2 1 6
direct
0.1600 0.8400 0.5000 K
0.8400 0.1600 0.5000 K
0.5000 0.5000 0.5000 K
0.3327 0.6673 0.0000 Pu
0.6673 0.3327 0.0000 Pu
0.0000 0.0000 0.0000 Pb
0.9305 0.5755 0.7929 Se
0.7142 0.7142 0.2059 Se
0.0695 0.4245 0.2071 Se
0.5755 0.9305 0.7929 Se
0.2858 0.2858 0.7941 Se
0.4245 0.0695 0.2071 Se
```

Values from the calculation:
* V: 30.9 A^3/atom
* spin magnetization: 0.750 μB/atom
* formation energy (no corrections): -1.271 eV/atom

---

(6)
DFT (PBE) results for a relaxed Rb2Tl6Hg3 crystal.

```
Rb2Tl6Hg3
1.0
-2.5942 0.5150 4.2229
-4.5700 -8.1198 -1.8173
8.0820 -0.1136 4.9787
Rb Tl Hg
2 6 3
direct
0.0000 0.6667 0.3333 Rb
0.0000 0.3333 0.6667 Rb
0.5000 0.7273 0.7273 Tl
0.5000 0.0000 0.2727 Tl
0.0000 0.1997 0.1997 Tl
0.0000 0.8003 0.0000 Tl
0.5000 0.2727 0.0000 Tl
0.0000 0.0000 0.8003 Tl
0.5000 0.4022 0.4022 Hg
0.5000 0.5978 0.0000 Hg
0.5000 0.0000 0.5978 Hg
```

Values from the calculation:
* V: 35.4 A^3/atom
* ΔH_f (0 K): -10 kJ per mole of atoms
* spin magnetization: 0.000 μB/atom

---

(7)
DFT (PBE) results for a relaxed PmThCdIr crystal.

```
PmThCdIr
1.0
5.1981 0.0000 0.0000
2.5990 4.5017 0.0000
2.5990 1.5006 4.2442
Cd Ir Th Pm
1 1 1 1
direct
0.7500 0.7500 0.7500 Cd
0.2500 0.2500 0.2500 Ir
0.5000 0.5000 0.5000 Th
0.0000 0.0000 0.0000 Pm
```

Values from the calculation:
* V: 24.8 A^3/atom
* ΔH_f (0 K): -35 kJ per mole of atoms
* spin magnetization: 0.000 μB/atom

---

(8)
DFT (PBE) results for a relaxed EuGdTi2O7 crystal.

```
EuGdTi2O7
1.0
7.2748 -0.0105 -0.0001
-3.6068 6.2929 0.0000
3.6594 2.0974 5.9504
Eu Gd Ti O
2 2 4 14
direct
0.5000 0.5000 0.0000 Eu
0.5000 0.0000 0.0000 Eu
0.0000 0.0000 0.5000 Gd
0.0000 0.0000 0.0000 Gd
0.5000 0.0000 0.5000 Ti
0.5000 0.5000 0.5000 Ti
0.0000 0.5000 0.0000 Ti
0.0000 0.5000 0.5000 Ti
0.6539 0.8270 0.4230 O
0.3461 0.1730 0.5770 O
0.2441 0.1221 0.1279 O
0.8480 0.4240 0.8260 O
0.7521 0.1735 0.1739 O
0.7521 0.5786 0.5740 O
0.7521 0.5786 0.1739 O
0.7521 0.1735 0.5740 O
0.7559 0.8779 0.8721 O
0.1520 0.5760 0.1740 O
0.2479 0.8265 0.8261 O
0.2479 0.4214 0.4260 O
0.2479 0.4214 0.8261 O
0.2479 0.8265 0.4260 O
```

Values from the calculation:
* V: 12.4 A^3/atom
* spin magnetization: 1.182 μB/atom
* formation energy (no corrections): -3.120 eV/atom

---

(9)
DFT (PBE) results for a relaxed Dy3ZrNi8 crystal.

```
Dy3ZrNi8
1.0
4.8139 0.0000 1.4532
2.1876 4.2881 1.4532
-0.0077 -0.0047 8.7255
Dy Zr Ni
3 1 8
direct
0.3749 0.3749 0.8752 Dy
0.9993 0.9993 0.0021 Dy
0.5005 0.5005 0.4984 Dy
0.8753 0.8753 0.3741 Zr
0.9338 0.4367 0.1929 Ni
0.4416 0.9381 0.6822 Ni
0.4367 0.4367 0.1929 Ni
0.9381 0.9381 0.6822 Ni
0.1874 0.1874 0.4377 Ni
0.6876 0.6876 0.9372 Ni
0.4367 0.9338 0.1929 Ni
0.9381 0.4416 0.6822 Ni
```

Values from the calculation:
* V: 15.0 A^3/atom
* ΔH_f (0 K): -41 kJ per mole of atoms
* spin magnetization: 0.000 μB/atom

---

(10)
DFT (PBE) results for a relaxed LiAcAlPt3 crystal.

```
LiAcAlPt3
1.0
5.8950 0.0000 0.0000
0.0000 6.7865 0.0000
0.0000 -3.3932 5.8756
Li Ac Al Pt
2 2 2 6
direct
0.2500 0.9675 0.9350 Li
0.7500 0.0325 0.0650 Li
0.7500 0.2834 0.5669 Ac
0.2500 0.7166 0.4331 Ac
0.2500 0.3863 0.7727 Al
0.7500 0.6137 0.2273 Al
0.2500 0.1796 0.3593 Pt
0.0000 0.2775 0.0000 Pt
0.5000 0.7225 0.0000 Pt
0.5000 0.2775 0.0000 Pt
0.0000 0.7225 0.0000 Pt
0.7500 0.8204 0.6407 Pt
```

Values from the calculation:
* V: 19.6 A^3/atom
* ΔH_f (0 K): -74 kJ per mole of atoms
* spin magnetization: 0.000 μB/atom

---

(11)
DFT (PBE) results for a relaxed Hg3MoS crystal.

```
Hg3MoS
1.0
5.4529 0.0000 0.0000
0.0000 5.4529 0.0000
0.0000 0.0000 5.4529
S Mo Hg
1 1 3
direct
0.5000 0.5000 0.5000 S
0.0000 0.0000 0.0000 Mo
0.0000 0.5000 0.0000 Hg
0.0000 0.0000 0.5000 Hg
0.5000 0.0000 0.0000 Hg
```

Values from the calculation:
* V: 32.4 A^3/atom
* spin magnetization: 0.722 μB/atom
* formation energy (no corrections): 1.117 eV/atom

---

(12)
DFT (PBE) results for a relaxed Pu2ScS4 crystal.

```
Pu2ScS4
1.0
3.7359 0.0000 0.0000
-1.8680 6.4776 0.0000
0.0000 0.0000 13.0268
Pu Sc S
4 2 8
direct
0.1328 0.2656 0.4267 Pu
0.8672 0.7344 0.9267 Pu
0.1328 0.2656 0.0733 Pu
0.8672 0.7344 0.5733 Pu
0.6255 0.2510 0.7500 Sc
0.3745 0.7490 0.2500 Sc
0.7814 0.5628 0.1267 S
0.7814 0.5628 0.3733 S
0.2186 0.4372 0.8733 S
0.2186 0.4372 0.6267 S
0.9843 0.9686 0.7500 S
0.0157 0.0314 0.2500 S
0.5000 0.0000 0.0000 S
0.5000 0.0000 0.5000 S
```

Values from the calculation:
* V: 22.5 A^3/atom
* spin magnetization: 1.565 μB/atom
* formation energy (no corrections): -1.679 eV/atom

---

Copy entry 11 word for word.
DFT (PBE) results for a relaxed Hg3MoS crystal.

```
Hg3MoS
1.0
5.4529 0.0000 0.0000
0.0000 5.4529 0.0000
0.0000 0.0000 5.4529
S Mo Hg
1 1 3
direct
0.5000 0.5000 0.5000 S
0.0000 0.0000 0.0000 Mo
0.0000 0.5000 0.0000 Hg
0.0000 0.0000 0.5000 Hg
0.5000 0.0000 0.0000 Hg
```

Values from the calculation:
* V: 32.4 A^3/atom
* spin magnetization: 0.722 μB/atom
* formation energy (no corrections): 1.117 eV/atom

---

Number 5 is which compound? K3Pu2PbSe6

---

Number 9 is which compound? Dy3ZrNi8

---

The highest V belongs to which entry? Rb2Tl6Hg3